PBE-GGA Ac4Pm2Pr3, optimized geometry; formation enthalpy at 0 K = 0.0866 eV/atom; VASP energy = -4.39 eV/atom
1.0
3.830 0.000 0.000
-1.915 3.316 0.000
0.000 0.000 28.457
Ac Pm Pr
4 2 3
Direct
0.000 0.000 0.000
0.000 0.000 0.221
0.333 0.667 0.338
0.333 0.667 0.560
0.000 0.000 0.668
0.000 0.000 0.874
0.000 0.000 0.448
0.333 0.667 0.108
0.333 0.667 0.773

PBE-GGA Ac7PmPr4, optimized geometry; formation enthalpy at 0 K = 0.2287 eV/atom; VASP energy = -4.16 eV/atom
1.0
8.647 -3.237 0.000
8.647 3.237 0.000
-5.292 0.000 9.051
Ac Pm Pr
7 1 4
Direct
0.000 0.000 0.000
0.272 0.272 0.742
0.297 0.297 0.122
0.414 0.414 0.556
0.586 0.586 0.444
0.703 0.703 0.878
0.728 0.728 0.258
0.500 0.500 0.000
0.060 0.060 0.701
0.169 0.169 0.357
0.831 0.831 0.643
0.940 0.940 0.299

PBE-GGA Ac3Pm2Pr2, optimized geometry; formation enthalpy at 0 K = 0.0400 eV/atom; VASP energy = -4.44 eV/atom
1.0
5.715 0.000 0.000
0.000 25.434 0.000
0.000 0.000 3.779
Ac Pm Pr
6 4 4
Direct
0.000 0.000 0.000
0.000 0.152 0.000
0.000 0.848 0.000
0.500 0.348 0.000
0.500 0.500 0.000
0.500 0.652 0.000
0.000 0.285 0.500
0.000 0.715 0.500
0.500 0.215 0.500
0.500 0.785 0.500
0.000 0.427 0.500
0.000 0.573 0.500
0.500 0.073 0.500
0.500 0.927 0.500

PBE-GGA Ac6Pm2Pr5, optimized geometry; formation enthalpy at 0 K = 0.1305 eV/atom; VASP energy = -4.33 eV/atom
1.0
11.527 0.000 0.000
0.000 24.117 0.000
0.000 0.000 3.795
Ac Pm Pr
12 4 10
Direct
0.020 0.112 0.000
0.145 0.385 0.000
0.166 0.634 0.500
0.334 0.134 0.500
0.355 0.885 0.000
0.480 0.612 0.000
0.520 0.388 0.000
0.645 0.115 0.000
0.666 0.866 0.500
0.834 0.366 0.500
0.855 0.615 0.000
0.980 0.888 0.000
0.165 0.768 0.000
0.335 0.268 0.000
0.665 0.732 0.000
0.835 0.232 0.000
0.000 0.500 0.500
0.086 0.249 0.500
0.167 0.996 0.500
0.333 0.496 0.500
0.414 0.749 0.500
0.500 0.000 0.500
0.586 0.251 0.500
0.667 0.504 0.500
0.833 0.004 0.500
0.914 0.751 0.500

PBE-GGA Ac3Pm2Pr2, optimized geometry; formation enthalpy at 0 K = 0.1300 eV/atom; VASP energy = -4.35 eV/atom
1.0
18.687 0.000 0.000
0.000 3.726 0.000
-4.184 0.000 7.976
Ac Pm Pr
6 4 4
Direct
0.000 0.000 0.000
0.217 0.000 0.293
0.283 0.500 0.707
0.500 0.500 0.000
0.717 0.500 0.293
0.783 0.000 0.707
0.142 0.000 0.823
0.358 0.500 0.177
0.642 0.500 0.823
0.858 0.000 0.177
0.063 0.500 0.410
0.437 0.000 0.590
0.563 0.000 0.410
0.937 0.500 0.590

PBE-GGA Ac2Pm3Pr4, optimized geometry; formation enthalpy at 0 K = 0.0743 eV/atom; VASP energy = -4.55 eV/atom
1.0
3.764 0.000 0.000
-1.882 3.260 0.000
0.000 0.000 27.937
Ac Pm Pr
2 3 4
Direct
0.000 0.000 0.000
0.000 0.000 0.223
0.000 0.000 0.780
0.333 0.667 0.113
0.333 0.667 0.457
0.000 0.000 0.354
0.000 0.000 0.566
0.333 0.667 0.673
0.333 0.667 0.886

PBE-GGA AcPm12Pr5, optimized geometry; formation enthalpy at 0 K = 0.0916 eV/atom; VASP energy = -4.63 eV/atom
1.0
5.907 -8.882 0.000
5.907 8.882 0.000
-0.048 0.000 6.122
Ac Pm Pr
1 12 5
Direct
0.000 0.000 0.000
0.018 0.350 0.940
0.156 0.491 0.443
0.184 0.184 0.543
0.331 0.331 0.044
0.350 0.018 0.940
0.491 0.156 0.443
0.509 0.844 0.557
0.650 0.982 0.060
0.669 0.669 0.956
0.816 0.816 0.457
0.844 0.509 0.557
0.982 0.650 0.060
0.166 0.834 0.500
0.327 0.673 0.000
0.500 0.500 0.500
0.673 0.327 0.000
0.834 0.166 0.500

PBE-GGA AcPm2Pr5, optimized geometry; formation enthalpy at 0 K = 0.0185 eV/atom; VASP energy = -4.67 eV/atom
1.0
7.458 0.000 0.000
0.000 14.923 0.000
0.000 0.000 5.280
Ac Pm Pr
2 4 10
Direct
0.000 0.000 0.000
0.500 0.500 0.000
0.249 0.373 0.500
0.251 0.873 0.500
0.749 0.127 0.500
0.751 0.627 0.500
0.000 0.500 0.000
0.001 0.252 0.000
0.247 0.627 0.500
0.253 0.127 0.500
0.499 0.752 0.000
0.500 0.000 0.000
0.501 0.248 0.000
0.747 0.873 0.500
0.753 0.373 0.500
0.999 0.748 0.000